1.
A relaxed TaTlFe2 crystal. Source: Alexandria via LeMat-Bulk, functional PBE-GGA. Values from VASP.

Quantum ESPRESSO input file:
```
&SYSTEM
  ibrav = 0, nat = 8, ntyp = 3
/
ATOMIC_SPECIES
Tl 204.38 Tl.upf
Fe 55.84 Fe.upf
Ta 180.95 Ta.upf
CELL_PARAMETERS angstrom
7.068 0.000 0.000
0.000 7.068 0.000
3.534 3.534 2.799
ATOMIC_POSITIONS crystal
Tl 0.750 0.250 0.500
Tl 0.000 0.000 0.000
Fe 0.375 0.405 0.750
Fe 0.595 0.125 0.250
Fe 0.875 0.845 0.750
Fe 0.155 0.625 0.250
Ta 0.500 0.500 0.000
Ta 0.250 0.750 0.500
```

As for the space group: I-42d. The crystal system is tetragonal. For the density of states at the Fermi level, the calculation gives 1.247 states/eV/atom.

***

2.
A relaxed TaTlFe2 crystal. Source: Alexandria via LeMat-Bulk, functional PBE-GGA. Values from VASP.

Quantum ESPRESSO input file:
```
&SYSTEM
  ibrav = 0, nat = 4, ntyp = 3
/
ATOMIC_SPECIES
Ta 180.95 Ta.upf
Tl 204.38 Tl.upf
Fe 55.84 Fe.upf
CELL_PARAMETERS angstrom
-0.663 4.223 0.023
-2.894 -0.437 -3.115
-2.334 -0.379 2.221
ATOMIC_POSITIONS crystal
Ta 0.500 0.000 0.500
Tl 0.000 0.500 0.500
Fe 0.500 0.500 0.000
Fe 0.000 0.000 0.000
```

As for the space group: P4/mmm. The crystal system is tetragonal. For the density of states at the Fermi level, the calculation gives 0.346 states/eV/atom.

***

3.
A relaxed Ta2TlFe crystal. Source: Alexandria via LeMat-Bulk, functional PBE-GGA. Values from VASP.

Quantum ESPRESSO input file:
```
&SYSTEM
  ibrav = 0, nat = 4, ntyp = 3
/
ATOMIC_SPECIES
Ta 180.95 Ta.upf
Fe 55.84 Fe.upf
Tl 204.38 Tl.upf
CELL_PARAMETERS angstrom
3.874 0.000 0.000
0.000 2.981 0.020
0.000 2.288 6.134
ATOMIC_POSITIONS crystal
Ta 0.000 0.976 0.959
Ta 0.000 0.524 0.541
Fe 0.500 0.750 0.750
Tl 0.500 0.250 0.250
```

The energy above the most stable polymorph in this dataset comes out at 128 meV per atom. As for the space group: P2/m. The crystal system is monoclinic. For the density of states at the Fermi level, the calculation gives 0.951 states/eV/atom.

***

4.
A relaxed Ta2TlFe crystal. Source: Alexandria via LeMat-Bulk, functional PBE-GGA. Values from VASP.

Quantum ESPRESSO input file:
```
&SYSTEM
  ibrav = 0, nat = 4, ntyp = 3
/
ATOMIC_SPECIES
Ta 180.95 Ta.upf
Tl 204.38 Tl.upf
Fe 55.84 Fe.upf
CELL_PARAMETERS angstrom
9.035 -0.001 -0.001
8.506 3.047 -0.001
8.506 1.477 2.665
ATOMIC_POSITIONS crystal
Ta 0.009 0.009 0.009
Ta 0.256 0.256 0.256
Tl 0.493 0.493 0.493
Fe 0.743 0.743 0.743
```

The energy above the most stable polymorph in this dataset comes out at 180 meV per atom. As for the space group: R3m. The crystal system is trigonal. For the density of states at the Fermi level, the calculation gives 0.782 states/eV/atom.

***

5.
A relaxed Ta4TlFe crystal. Source: Alexandria via LeMat-Bulk, functional PBE-GGA. Values from VASP.

Quantum ESPRESSO input file:
```
&SYSTEM
  ibrav = 0, nat = 6, ntyp = 3
/
ATOMIC_SPECIES
Ta 180.95 Ta.upf
Fe 55.84 Fe.upf
Tl 204.38 Tl.upf
CELL_PARAMETERS angstrom
0.657 -1.386 5.260
0.526 3.897 3.815
-4.043 0.882 3.591
ATOMIC_POSITIONS crystal
Ta 0.375 0.375 0.876
Ta 0.375 0.876 0.375
Ta 0.876 0.375 0.375
Ta 0.375 0.375 0.375
Fe 0.000 0.000 0.000
Tl 0.750 0.750 0.750
```

As for the space group: F-43m. The crystal system is cubic. For the density of states at the Fermi level, the calculation gives 1.526 states/eV/atom.

***

6.
A relaxed TaTlFe2 crystal. Source: Alexandria via LeMat-Bulk, functional PBE-GGA. Values from VASP.

Quantum ESPRESSO input file:
```
&SYSTEM
  ibrav = 0, nat = 4, ntyp = 3
/
ATOMIC_SPECIES
Tl 204.38 Tl.upf
Fe 55.84 Fe.upf
Ta 180.95 Ta.upf
CELL_PARAMETERS angstrom
-0.652 2.834 4.204
-3.464 2.038 3.158
-0.603 -2.625 3.619
ATOMIC_POSITIONS crystal
Tl 0.266 0.266 0.220
Fe 0.020 0.020 0.995
Fe 0.727 0.727 0.754
Ta 0.488 0.488 0.531
```

As for the space group: Cm. The crystal system is monoclinic. For the density of states at the Fermi level, the calculation gives 0.697 states/eV/atom.

***

7.
A relaxed Ta2TlFe crystal. Source: Alexandria via LeMat-Bulk, functional PBE-GGA. Values from VASP.

Quantum ESPRESSO input file:
```
&SYSTEM
  ibrav = 0, nat = 4, ntyp = 3
/
ATOMIC_SPECIES
Tl 204.38 Tl.upf
Ta 180.95 Ta.upf
Fe 55.84 Fe.upf
CELL_PARAMETERS angstrom
0.987 3.052 3.355
-3.324 2.784 1.658
-1.649 -0.653 4.290
ATOMIC_POSITIONS crystal
Tl 0.500 0.500 0.500
Ta 0.250 0.250 0.250
Ta 0.750 0.750 0.750
Fe 0.000 0.000 0.000
```

The energy above the most stable polymorph in this dataset comes out at 334 meV per atom. As for the space group: Fm-3m. The crystal system is cubic. For the density of states at the Fermi level, the calculation gives 1.193 states/eV/atom.

***

8.
A relaxed TaTlFe2 crystal. Source: Alexandria via LeMat-Bulk, functional PBE-GGA. Values from VASP.

Quantum ESPRESSO input file:
```
&SYSTEM
  ibrav = 0, nat = 4, ntyp = 3
/
ATOMIC_SPECIES
Tl 204.38 Tl.upf
Fe 55.84 Fe.upf
Ta 180.95 Ta.upf
CELL_PARAMETERS angstrom
-2.434 2.079 2.974
-0.656 4.307 -0.339
-3.946 1.530 -1.089
ATOMIC_POSITIONS crystal
Tl 0.500 0.500 0.500
Fe 0.750 0.750 0.750
Fe 0.250 0.250 0.250
Ta 0.000 0.000 0.000
```

As for the space group: Fm-3m. The crystal system is cubic. For the density of states at the Fermi level, the calculation gives 0.204 states/eV/atom.

***

no.,total moment (μB per cell),energy of formation from the pure elements (meV per atom)
1,6.09,842
2,0.00,362
3,1.29,366
4,1.04,418
5,2.17,684
6,3.90,394
7,2.22,572
8,0.00,304